[1]
! AlCd2Mo PBE-GGA optimized geometry; values from VASP
&SYSTEM
  ibrav = 0, nat = 4, ntyp = 3
/
ATOMIC_SPECIES
Al 26.98 Al.upf
Cd 112.41 Cd.upf
Mo 95.94 Mo.upf
CELL_PARAMETERS angstrom
-0.917 1.987 1.843
-1.615 0.444 -2.319
-6.389 -6.007 3.300
ATOMIC_POSITIONS angstrom
Al -5.908 -3.149 2.159
Cd -2.990 -0.406 0.652
Cd -6.290 -5.914 3.248
Mo -3.317 -3.119 1.713
! - Mass density: 7.74 g cm⁻³
! - D(E_F): 0.7804 states/eV per atom
! - Symmetry: Cmm2

[2]
! AlCd2Mo PBE-GGA optimized geometry; values from VASP
&SYSTEM
  ibrav = 0, nat = 4, ntyp = 3
/
ATOMIC_SPECIES
Cd 112.41 Cd.upf
Mo 95.94 Mo.upf
Al 26.98 Al.upf
CELL_PARAMETERS angstrom
-2.361 -4.541 -0.844
0.369 -0.688 2.669
-4.416 2.008 1.549
ATOMIC_POSITIONS angstrom
Cd 0.351 -0.663 2.585
Cd -2.006 0.636 2.193
Mo -2.192 -1.940 0.633
Al -4.216 -1.280 2.742
! - Mass density: 7.89 g cm⁻³
! - D(E_F): 0.6186 states/eV per atom
! - Symmetry: P2/m

Size of the total moment / μB per formula unit: 0.0, 0.0
Total energy / eV per atom: -3.904, -3.822